Below is a crystal of KCrP2Cl relaxed with PBEsol, with properties calculated at the SCAN level.

Cell and atoms, written as POSCAR:
```
KCrP2Cl
1.0
5.238 0.000 0.000
0.000 5.274 0.000
0.000 0.000 5.274
Cr K P Cl
1 1 2 1
direct
0.500 0.500 0.500
0.000 0.000 0.000
0.000 0.000 0.500
0.000 0.500 0.000
0.500 0.000 0.000
```

Summary:
Space-group type   P4/mmm
Raw total energy   -9.8193 eV/atom
ΔE_f (raw)   1.2784 eV/atom

***

Below is a crystal of Ti2TcAgAu relaxed with PBEsol, with properties calculated at the SCAN level.

Cell and atoms, written as POSCAR:
```
Ti2TcAgAu
1.0
-0.952 4.243 -1.068
-3.360 -1.409 -2.603
-3.117 0.276 3.874
Au Tc Ag Ti
1 1 1 2
direct
0.500 0.500 0.500
0.000 0.000 0.000
0.000 0.000 0.500
0.000 0.500 0.000
0.500 0.000 0.000
```

Summary:
Space-group type   P4/mmm
Raw total energy   -32.8619 eV/atom

***

Below is a crystal of MgAgPb2 relaxed with PBEsol, with properties calculated at the SCAN level.

Cell and atoms, written as POSCAR:
```
MgAgPb2
1.0
-1.912 -1.579 2.325
-0.542 -2.525 -4.646
4.724 -2.574 2.138
Ag Mg Pb
1 1 2
direct
0.000 0.000 0.500
0.500 0.000 0.000
0.742 0.484 0.742
0.258 0.516 0.258
```

Summary:
Space-group type   C2/m
Raw total energy   -46.9606 eV/atom

***

Below is a crystal of Mg3TlH relaxed with PBEsol, with properties calculated at the SCAN level.

Cell and atoms, written as POSCAR:
```
Mg3TlH
1.0
4.452 0.000 0.000
0.000 4.452 0.000
0.000 0.000 4.452
H Tl Mg
1 1 3
direct
0.000 0.000 0.000
0.500 0.500 0.500
0.000 0.500 0.000
0.000 0.000 0.500
0.500 0.000 0.000
```

Summary:
Space-group type   Pm-3m
Raw total energy   -18.2452 eV/atom

***

Below is a crystal of MnRh4 relaxed with PBEsol, with properties calculated at the SCAN level.

Cell and atoms, written as POSCAR:
```
MnRh4
1.0
-1.492 -1.095 3.276
-0.835 -4.503 0.275
3.095 -1.166 3.180
Mn Rh
1 4
direct
0.000 0.000 0.000
0.800 0.599 0.802
0.200 0.401 0.198
0.602 0.198 0.599
0.398 0.802 0.401
```

Summary:
Space-group type   I4/m
Raw total energy   -30.8648 eV/atom

***

Below is a crystal of SiHg2As relaxed with PBEsol, with properties calculated at the SCAN level.

Cell and atoms, written as POSCAR:
```
SiHg2As
1.0
3.389 0.000 0.000
0.000 3.389 0.000
0.000 0.000 7.726
As Hg Si
1 2 1
direct
0.500 0.500 0.584
0.000 0.000 0.003
0.500 0.500 0.236
0.000 0.000 0.677
```

Summary:
Space-group type   P4mm
Excess energy over the best structure of this formula in the dataset   0.000 eV per atom
Raw total energy   -41.4620 eV/atom
ΔE_f (raw)   0.1726 eV/atom

***

Below is a crystal of Ta7Mo relaxed with PBEsol, with properties calculated at the SCAN level.

Cell and atoms, written as POSCAR:
```
Ta7Mo
1.0
3.260 0.000 0.000
0.000 4.618 0.000
0.000 0.000 9.194
Mo Ta
1 7
direct
0.000 0.000 0.000
0.500 0.000 0.240
0.000 0.000 0.500
0.500 0.000 0.760
0.500 0.500 0.000
0.000 0.500 0.253
0.500 0.500 0.500
0.000 0.500 0.747
```

Summary:
Space-group type   Pmmm
Excess energy over the best structure of this formula in the dataset   0.001 eV per atom
Raw total energy   -62.6737 eV/atom

***

Below is a crystal of Zr relaxed with PBEsol, with properties calculated at the SCAN level.

Cell and atoms, written as POSCAR:
```
Zr
1.0
3.045 0.000 0.000
-1.015 2.871 0.000
-1.015 -1.436 2.486
Zr
1
direct
0.000 0.000 0.000
```

Summary:
Space-group type   Im-3m
Excess energy over the best structure of this formula in the dataset   0.109 eV per atom
Raw total energy   -30.5899 eV/atom

***

Below is a crystal of CuReSe2 relaxed with PBEsol, with properties calculated at the SCAN level.

Cell and atoms, written as POSCAR:
```
CuReSe2
1.0
3.057 0.000 0.000
0.000 3.276 0.000
-1.528 0.000 7.352
Cu Re Se
1 1 2
direct
0.561 0.000 0.121
0.965 0.500 0.929
0.844 0.000 0.687
0.134 0.500 0.268
```

Summary:
Space-group type   Amm2
Excess energy over the best structure of this formula in the dataset   0.000 eV per atom
Raw total energy   -31.3949 eV/atom
ΔE_f (raw)   0.2185 eV/atom

***

Below is a crystal of CdBi2Pd2 relaxed with PBEsol, with properties calculated at the SCAN level.

Cell and atoms, written as POSCAR:
```
CdBi2Pd2
1.0
4.055 0.000 0.000
0.000 7.244 0.000
0.000 0.000 7.244
Bi Pd Cd
4 4 2
direct
0.500 0.163 0.663
0.500 0.663 0.837
0.500 0.837 0.337
0.500 0.337 0.163
0.000 0.362 0.862
0.000 0.862 0.638
0.000 0.638 0.138
0.000 0.138 0.362
0.000 0.000 0.000
0.000 0.500 0.500
```

Summary:
Space-group type   P4/mbm
Raw total energy   -50.7953 eV/atom

***

Below is a crystal of HfAsP2Cl relaxed with PBEsol, with properties calculated at the SCAN level.

Cell and atoms, written as POSCAR:
```
HfAsP2Cl
1.0
-2.315 3.937 -0.971
-4.152 -2.661 -0.889
-1.303 0.423 4.820
P As Hf Cl
2 1 1 1
direct
0.000 0.000 0.500
0.000 0.500 0.000
0.500 0.500 0.500
0.000 0.000 0.000
0.500 0.000 0.000
```

Summary:
Space-group type   P4/mmm
Raw total energy   -22.1667 eV/atom
ΔE_f (raw)   0.1611 eV/atom

***

Below is a crystal of La2NiTe relaxed with PBEsol, with properties calculated at the SCAN level.

Cell and atoms, written as POSCAR:
```
La2NiTe
1.0
3.714 0.000 0.000
0.000 3.714 0.000
0.000 0.000 7.314
La Ni Te
2 1 1
direct
0.000 0.000 0.777
0.000 0.000 0.223
0.500 0.500 0.000
0.500 0.500 0.500
```

Summary:
Space-group type   P4/mmm
Raw total energy   -35.6620 eV/atom
ΔE_f (raw)   -0.7534 eV/atom

***

Below is a crystal of YRhAu relaxed with PBEsol, with properties calculated at the SCAN level.

Cell and atoms, written as POSCAR:
```
YRhAu
1.0
4.522 0.000 0.000
2.261 3.916 0.000
2.261 1.305 3.692
Au Rh Y
1 1 1
direct
0.000 0.000 0.000
0.500 0.500 0.500
0.250 0.250 0.250
```

Summary:
Space-group type   F-43m
Raw total energy   -43.8649 eV/atom

***

Below is a crystal of MnBN2 relaxed with PBEsol, with properties calculated at the SCAN level.

Cell and atoms, written as POSCAR:
```
MnBN2
1.0
4.147 0.000 0.000
-2.073 4.134 -0.003
0.000 2.082 3.586
B Mn N
2 2 4
direct
0.250 0.500 0.250
0.500 0.000 0.500
0.750 0.500 0.750
0.000 0.000 0.000
0.558 0.750 0.375
0.192 0.750 0.875
0.875 0.250 0.558
0.375 0.250 0.192
```

Summary:
Space-group type   I-42d
Raw total energy   -11.7240 eV/atom
ΔE_f (raw)   -0.6572 eV/atom